Record 1
Compound: Bi2Mo2N
Source: the Alexandria database
Functional: GGA-PBE
Structure: optimized geometry

Lattice parameters (Å, degrees): 3.553 3.553 16.502 90.00 90.00 90.00
Space group I4/mmm (No. 139)
Asymmetric unit:
Bi1 0.000 0.000 0.095
Mo1 0.000 0.500 0.250
N1 0.000 0.000 0.500

Output
The polymorph energy (0 for the lowest one) comes out at 0 kJ/mol of formula units. The calculation puts the energy at -6.363 eV/atom. The value obtained for the density of states at the Fermi level is 0.899 states/eV/atom. The uncorrected formation energy comes out at 5.93 eV/f.u.



Record 2
Compound: K2LaTl
Source: the Alexandria database
Functional: GGA-PBE
Structure: optimized geometry

Lattice parameters (Å, degrees): 8.452 8.452 8.452 90.00 90.00 90.00
Space group F-43m (No. 216)
Asymmetric unit:
K1 0.000 0.000 0.000
K2 0.250 0.250 0.250
La1 0.250 0.250 0.750
Tl1 0.000 0.000 0.500

Output
The polymorph energy (0 for the lowest one) comes out at 75 kJ/mol of formula units. The calculation puts the energy at -2.192 eV/atom. The value obtained for the density of states at the Fermi level is 0.558 states/eV/atom. Its formation energy is 0.180 eV per atom.



Record 3
Compound: Pm2Sm5YSc
Source: the Alexandria database
Functional: GGA-PBE
Structure: optimized geometry

Lattice parameters (Å, degrees): 5.391 22.018 10.142 90.00 90.00 90.00
Space group Cmc2_1 (No. 36)
Asymmetric unit:
Pm1 0.000 0.116 0.000
Pm2 0.000 0.117 0.494
Sm1 0.000 0.001 0.247
Sm2 0.000 0.278 0.060
Sm3 0.000 0.278 0.435
Sm4 0.000 0.373 0.747
Sm5 0.000 0.500 0.497
Y1 0.000 0.398 0.247
Sc1 0.000 0.214 0.747

Output
The calculation puts the energy at -4.974 eV/atom. The value obtained for the density of states at the Fermi level is 1.461 states/eV/atom. Its formation energy is 0.125 eV per atom.



Record 4
Compound: Mg3H2Ir4
Source: the Alexandria database
Functional: GGA-PBE
Structure: optimized geometry

Lattice parameters (Å, degrees): 4.913 4.914 5.509 88.08 88.06 68.00
Space group P1 (No. 1)
Asymmetric unit:
Mg1 0.000 0.000 0.000
Mg2 0.034 0.483 0.295
Mg3 0.518 0.965 0.705
H1 0.725 0.107 0.374
H2 0.892 0.274 0.627
Ir1 0.041 0.482 0.788
Ir2 0.499 0.500 0.001
Ir3 0.518 0.959 0.212
Ir4 0.537 0.462 0.501

Output
The polymorph energy (0 for the lowest one) comes out at 23 kJ/mol of formula units. The calculation puts the energy at -5.366 eV/atom. The value obtained for the density of states at the Fermi level is 0.220 states/eV/atom.



Record 5
Compound: Rb3GaHg4
Source: the Alexandria database
Functional: GGA-PBE
Structure: optimized geometry

Lattice parameters (Å, degrees): 7.035 8.560 10.193 90.00 90.00 90.00
Space group Imm2 (No. 44)
Asymmetric unit:
Rb1 0.000 0.000 0.000
Rb2 0.000 0.240 0.371
Ga1 0.000 0.500 0.938
Hg1 0.000 0.297 0.726
Hg2 0.234 0.000 0.638

Output
The calculation puts the energy at -1.039 eV/atom. The value obtained for the density of states at the Fermi level is 0.600 states/eV/atom. Its formation energy is -0.147 eV per atom.



Record 6
Compound: FePbAu2
Source: the Alexandria database
Functional: GGA-PBE
Structure: optimized geometry

Lattice parameters (Å, degrees): 3.139 3.460 7.254 90.00 90.00 90.00
Space group Pmm2 (No. 25)
Asymmetric unit:
Fe1 0.000 0.000 0.000
Pb1 0.500 0.500 0.282
Au1 0.000 0.000 0.584
Au2 0.500 0.500 0.820

Output
The calculation puts the energy at -4.431 eV/atom. The value obtained for the density of states at the Fermi level is 0.691 states/eV/atom. Its formation energy is 0.251 eV per atom.